1.
LaNd2PtO5 | PBE | optimized geometry

Output
- formation energy (no corrections) (eV/f.u.) = -22.31
- DOS at the Fermi energy (states/eV/f.u.) = 4.73
- symmetry = P4/mbm (127)

Cell lengths 5.905, 6.738, 6.738 Å; angles 90.00, 90.00, 90.00 degrees
Positions (direct):
O  0.500  0.500  0.500
O  0.500  0.000  0.000
O  0.750  0.852  0.352
O  0.750  0.648  0.852
O  0.250  0.852  0.352
O  0.250  0.148  0.648
O  0.750  0.148  0.648
O  0.750  0.352  0.148
O  0.250  0.648  0.852
O  0.250  0.352  0.148
La  0.000  0.000  0.000
La  0.000  0.500  0.500
Pt  0.000  0.500  0.000
Pt  0.000  0.000  0.500
Nd  0.500  0.832  0.668
Nd  0.500  0.668  0.168
Nd  0.500  0.168  0.332
Nd  0.500  0.332  0.832

---

2.
LaEr9Sc2 | PBE | optimized geometry

Output
- DOS at the Fermi energy (states/eV/f.u.) = 18.99
- symmetry = P4/mmm (123)
- E_form (meV per atom) = 46

Cell lengths 4.935, 4.935, 14.814 Å; angles 90.00, 90.00, 90.00 degrees
Positions (direct):
Er  0.000  0.500  0.175
Er  0.500  0.500  0.339
Er  0.500  0.500  0.661
Er  0.000  0.500  0.825
Er  0.500  0.000  0.175
Er  0.500  0.000  0.500
Er  0.500  0.000  0.825
Er  0.000  0.500  0.500
Er  0.500  0.500  0.000
Sc  0.000  0.000  0.663
Sc  0.000  0.000  0.337
La  0.000  0.000  0.000

---

3.
SrBeAu2 | PBE | optimized geometry

Output
- DOS at the Fermi energy (states/eV/f.u.) = 2.14
- symmetry = I4_1/amd (141)
- E_form (meV per atom) = -333

Cell lengths 5.283, 5.283, 8.391 Å; angles 71.65, 71.65, 90.00 degrees
Positions (direct):
Be  0.500  0.500  0.000
Be  0.250  0.750  0.500
Sr  0.000  0.000  0.000
Sr  0.750  0.250  0.500
Au  0.375  0.625  0.250
Au  0.375  0.125  0.250
Au  0.875  0.625  0.750
Au  0.375  0.625  0.750